# 1
Here is Al2NiSb after structural relaxation from Alexandria. Energies are from PBE-GGA.

Computed properties:
- ΔE_f (raw): 122.5 meV/atom
- Mass density: 5.66 g/cm3
- Crystal system: tetragonal
- Spin magnetization: 0.00 μB per atom

Cell lengths 3.933, 3.933, 4.444 Å; angles 90.00, 90.00, 90.00 degrees
Space group P4/mmm (No. 123)
Inequivalent atoms, fractional coordinates:
Al 0.000 0.500 0.000 (multiplicity 2)
Ni 0.000 0.000 0.500 (multiplicity 1)
Sb 0.500 0.500 0.500 (multiplicity 1)

# 2
Here is AlNi2Sb2 after structural relaxation from Alexandria. Energies are from PBE-GGA.

Computed properties:
- ΔE_f (raw): -14.6 meV/atom
- Mass density: 7.41 g/cm3
- Crystal system: tetragonal
- Spin magnetization: 0.00 μB per atom

Cell lengths 6.748, 6.748, 3.817 Å; angles 90.00, 90.00, 90.00 degrees
Space group P4/mbm (No. 127)
Inequivalent atoms, fractional coordinates:
Al 0.000 0.000 0.000 (multiplicity 2)
Ni 0.135 0.365 0.000 (multiplicity 4)
Sb 0.170 0.670 0.500 (multiplicity 4)

# 3
Here is Al2NiSb after structural relaxation from Alexandria. Energies are from PBE-GGA.

Computed properties:
- ΔE_f (raw): 101.4 meV/atom
- Mass density: 5.62 g/cm3
- Crystal system: orthorhombic
- Spin magnetization: 0.00 μB per atom

Cell lengths 3.796, 4.569, 7.985 Å; angles 90.00, 90.00, 90.00 degrees
Space group Imm2 (No. 44)
Inequivalent atoms, fractional coordinates:
Al 0.000 0.000 0.000 (multiplicity 2)
Al 0.000 0.500 0.235 (multiplicity 2)
Ni 0.000 0.500 0.713 (multiplicity 2)
Sb 0.000 0.000 0.465 (multiplicity 2)

- What is the spin magnetization in the second record?
  0.00 μB per atom

- spin magnetization of number 2 (AlNi2Sb2)?
  0.00 μB per atom